Record 1
Here is GaCoNiRu after structural relaxation from Alexandria. Energies are from PBE.

## Properties
calculated formation energy = -89.2 meV per atom
symmetry = F-43m

Cell lengths 4.149, 4.149, 4.149 Å; angles 60.00, 60.00, 60.00 degrees
Positions (direct):
Ru: 0.750 0.750 0.750
Co: 0.500 0.500 0.500
Ga: 0.000 0.000 0.000
Ni: 0.250 0.250 0.250

Record 2
Here is BaInSn2Hg5 after structural relaxation from Alexandria. Energies are from PBE.

## Properties
calculated formation energy = -68.6 meV per atom
symmetry = P4/mmm

Cell lengths 5.360, 5.360, 10.705 Å; angles 90.00, 90.00, 90.00 degrees
Positions (direct):
Ba: 0.000 0.000 0.500
In: 0.000 0.000 0.000
Sn: 0.500 0.500 0.247
Sn: 0.500 0.500 0.753
Hg: 0.000 0.500 0.149
Hg: 0.500 0.000 0.149
Hg: 0.000 0.500 0.851
Hg: 0.500 0.000 0.851
Hg: 0.500 0.500 0.500

Record 3
Here is SbPdBr6 after structural relaxation from Alexandria. Energies are from PBE.

## Properties
uncorrected formation energy = -0.33 eV/atom
symmetry = P-1

Cell lengths 6.656, 6.754, 7.215 Å; angles 61.72, 66.05, 63.80 degrees
Positions (direct):
Sb: 0.500 0.500 0.500
Pd: 0.000 0.000 0.000
Br: 0.080 0.389 0.763
Br: 0.766 0.072 0.761
Br: 0.621 0.243 0.250
Br: 0.234 0.928 0.239
Br: 0.920 0.611 0.237
Br: 0.379 0.757 0.750